Entry 1:
## HfFeCuSi (PBE)

Data for HfFeCuSi after structural relaxation.

Cell lengths 6.125, 6.125, 6.125 Å; angles 90.00, 90.00, 90.00 degrees
Space group F-43m (No. 216)
Inequivalent atoms, fractional coordinates:
Hf (0.000, 0.000, 0.000)
Fe (0.250, 0.250, 0.750)
Cu (0.000, 0.000, 0.500)
Si (0.250, 0.250, 0.250)

Output
Total DFT energy (no corrections) in eV for the cell shown: -110.38
Polymorph energy (0 for the lowest one) in meV/atom: 201

---

Entry 2:
## TbTmGa (PBE)

Data for TbTmGa after structural relaxation.

Cell lengths 6.972, 6.972, 6.972 Å; angles 90.00, 90.00, 90.00 degrees
Space group F-43m (No. 216)
Inequivalent atoms, fractional coordinates:
Tb (0.000, 0.000, 0.000)
Tm (0.000, 0.000, 0.500)
Ga (0.250, 0.250, 0.250)

Output
Total DFT energy (no corrections) in eV for the cell shown: -51.52
Polymorph energy (0 for the lowest one) in meV/atom: 0

---

Entry 3:
## CsErTc (PBE)

Data for CsErTc after structural relaxation.

Cell lengths 7.231, 7.231, 7.231 Å; angles 90.00, 90.00, 90.00 degrees
Space group F-43m (No. 216)
Inequivalent atoms, fractional coordinates:
Cs (0.000, 0.000, 0.000)
Er (0.250, 0.250, 0.250)
Tc (0.000, 0.000, 0.500)

Output
Total DFT energy (no corrections) in eV for the cell shown: -42.30

---

Entry 4:
## GdSi3Pd (PBE)

Data for GdSi3Pd after structural relaxation.

Cell lengths 4.071, 4.074, 11.096 Å; angles 90.00, 100.57, 90.00 degrees
Space group Pm (No. 6)
Inequivalent atoms, fractional coordinates:
Gd (0.000, 0.000, 0.000)
Gd (0.341, 0.000, 0.683)
Si (0.117, 0.500, 0.234)
Si (0.223, 0.500, 0.449)
Si (0.450, 0.500, 0.899)
Si (0.619, 0.000, 0.234)
Si (0.730, 0.000, 0.449)
Si (0.892, 0.500, 0.784)
Pd (0.558, 0.500, 0.118)
Pd (0.780, 0.500, 0.565)

Output
Total DFT energy (no corrections) in eV for the cell shown: -58.69

---

Entry 5:
## DyOsNO (PBE)

Data for DyOsNO after structural relaxation.

Cell lengths 4.885, 4.885, 4.265 Å; angles 90.00, 90.00, 90.00 degrees
Space group P4/nmm (No. 129, origin choice 2)
Inequivalent atoms, fractional coordinates:
Dy (0.250, 0.750, 0.000)
Os (0.250, 0.250, 0.498)
N (0.250, 0.250, 0.999)
O (0.250, 0.750, 0.500)

Output
Total DFT energy (no corrections) in eV for the cell shown: -63.31
Polymorph energy (0 for the lowest one) in meV/atom: 810

---

Entry 6:
## Sm3Dy3CoTe2 (PBE)

Data for Sm3Dy3CoTe2 after structural relaxation.

Cell lengths 8.4145, 8.4145, 3.9510 Å; angles 90.00, 90.00, 120.00 degrees
Space group P-62m (No. 189)
Inequivalent atoms, fractional coordinates:
Sm (0.0000, 0.5978, 0.0000)
Dy (0.0000, 0.2347, 0.5000)
Co (0.0000, 0.0000, 0.0000)
Te (0.3333, 0.6667, 0.5000)

Output
Total DFT energy (no corrections) in eV for the cell shown: -47.62

---

Entry 7:
## BeCdP (PBE)

Data for BeCdP after structural relaxation.

Cell lengths 3.6517, 3.6517, 4.2496 Å; angles 90.00, 90.00, 120.00 degrees
Space group P-6m2 (No. 187)
Inequivalent atoms, fractional coordinates:
Be (0.0000, 0.0000, 0.0000)
Cd (0.3333, 0.6667, 0.5000)
P (0.6667, 0.3333, 0.0000)

Output
Total DFT energy (no corrections) in eV for the cell shown: -10.02

---

Entry 8:
## NaYPdSe3 (PBE)

Data for NaYPdSe3 after structural relaxation.

Cell lengths 4.018, 14.516, 10.143 Å; angles 90.00, 90.00, 90.00 degrees
Space group Cmcm (No. 63)
Inequivalent atoms, fractional coordinates:
Na (0.000, 0.234, 0.250)
Y (0.000, 0.000, 0.000)
Pd (0.000, 0.492, 0.750)
Se (0.000, 0.101, 0.750)
Se (0.000, 0.368, 0.578)

Output
Total DFT energy (no corrections) in eV for the cell shown: -119.94

---

Entry 9:
## TbTm2Tl3 (PBE)

Data for TbTm2Tl3 after structural relaxation.

Cell lengths 3.620, 3.620, 12.161 Å; angles 90.00, 90.00, 90.00 degrees
Space group P4/mmm (No. 123)
Inequivalent atoms, fractional coordinates:
Tb (0.000, 0.000, 0.000)
Tm (0.000, 0.000, 0.335)
Tl (0.500, 0.500, 0.170)
Tl (0.500, 0.500, 0.500)

Output
Total DFT energy (no corrections) in eV for the cell shown: -22.51

---

Entry 10:
## PrScAl6 (PBE)

Data for PrScAl6 after structural relaxation.

Cell lengths 6.2735, 6.2735, 4.5946 Å; angles 90.00, 90.00, 120.00 degrees
Space group P-6m2 (No. 187)
Inequivalent atoms, fractional coordinates:
Pr (0.0000, 0.0000, 0.0000)
Sc (0.6667, 0.3333, 0.5000)
Al (0.0285, 0.5142, 0.0000)
Al (0.1896, 0.3792, 0.5000)

Output
Total DFT energy (no corrections) in eV for the cell shown: -36.60

---

Entry 11:
## Li2YCo (PBE)

Data for Li2YCo after structural relaxation.

Cell lengths 6.481, 6.481, 6.481 Å; angles 90.00, 90.00, 90.00 degrees
Space group F-43m (No. 216)
Inequivalent atoms, fractional coordinates:
Li (0.000, 0.000, 0.000)
Li (0.250, 0.250, 0.250)
Y (0.000, 0.000, 0.500)
Co (0.250, 0.250, 0.750)

Output
Total DFT energy (no corrections) in eV for the cell shown: -66.79

---

Entry 12:
## BaMg2PbAu (PBE)

Data for BaMg2PbAu after structural relaxation.

Cell lengths 4.759, 4.759, 12.463 Å; angles 90.00, 90.00, 90.00 degrees
Space group I4mm (No. 107)
Inequivalent atoms, fractional coordinates:
Ba (0.000, 0.000, 0.000)
Mg (0.000, 0.500, 0.243)
Pb (0.000, 0.000, 0.388)
Au (0.000, 0.000, 0.627)

Output
Total DFT energy (no corrections) in eV for the cell shown: -28.90

---

Entry 13:
## Sn2PdC2 (PBE)

Data for Sn2PdC2 after structural relaxation.

Cell lengths 5.570, 5.570, 11.492 Å; angles 90.00, 90.00, 90.00 degrees
Space group I4_1/amd (No. 141, origin choice 2)
Inequivalent atoms, fractional coordinates:
Sn (0.000, 0.250, 0.106)
Pd (0.000, 0.250, 0.875)
C (0.000, 0.000, 0.500)

Output
Total DFT energy (no corrections) in eV for the cell shown: -92.52

---

Entry 14:
## MgScTlPt (PBE)

Data for MgScTlPt after structural relaxation.

Cell lengths 6.714, 6.714, 6.714 Å; angles 90.00, 90.00, 90.00 degrees
Space group F-43m (No. 216)
Inequivalent atoms, fractional coordinates:
Mg (0.000, 0.000, 0.000)
Sc (0.250, 0.250, 0.750)
Tl (0.000, 0.000, 0.500)
Pt (0.250, 0.250, 0.250)

Output
Total DFT energy (no corrections) in eV for the cell shown: -71.81
Polymorph energy (0 for the lowest one) in meV/atom: 160

---

Entry 15:
## Nd3Mg3CdInHg (PBE)

Data for Nd3Mg3CdInHg after structural relaxation.

Cell lengths 7.6431, 7.6431, 4.7620 Å; angles 90.00, 90.00, 120.00 degrees
Space group P-6 (No. 174)
Inequivalent atoms, fractional coordinates:
Nd (0.0895, 0.3351, 0.0000)
Mg (0.4286, 0.3370, 0.5000)
Cd (0.6667, 0.3333, 0.0000)
In (0.0000, 0.0000, 0.5000)
Hg (0.3333, 0.6667, 0.5000)

Output
Total DFT energy (no corrections) in eV for the cell shown: -26.21

---

Entry 16:
## Tb3In3CuPtAu (PBE)

Data for Tb3In3CuPtAu after structural relaxation.

Cell lengths 7.7534, 7.7534, 3.8350 Å; angles 90.00, 90.00, 120.00 degrees
Space group P-6 (No. 174)
Inequivalent atoms, fractional coordinates:
Tb (0.0816, 0.7366, 0.0000)
In (0.4162, 0.0832, 0.5000)
Cu (0.6667, 0.3333, 0.0000)
Pt (0.3333, 0.6667, 0.5000)
Au (0.0000, 0.0000, 0.5000)

Output
Total DFT energy (no corrections) in eV for the cell shown: -42.02

---

Entry 17:
## CuAg7 (PBE)

Data for CuAg7 after structural relaxation.

Cell lengths 5.013, 5.014, 5.813 Å; angles 90.05, 106.84, 99.73 degrees
Space group P-1 (No. 2)
Inequivalent atoms, fractional coordinates:
Cu (0.000, 0.000, 0.000)
Ag (0.000, 0.000, 0.500)
Ag (0.000, 0.498, 0.755)
Ag (0.492, 0.249, 0.370)
Ag (0.498, 0.244, 0.877)

Output
Total DFT energy (no corrections) in eV for the cell shown: -23.18
Polymorph energy (0 for the lowest one) in meV/atom: 15
Energy relative to the elements in meV/atom: 38.9

---

Entry 18:
## ZrTaCuBi (PBE)

Data for ZrTaCuBi after structural relaxation.

Cell lengths 6.806, 6.806, 6.806 Å; angles 90.00, 90.00, 90.00 degrees
Space group F-43m (No. 216)
Inequivalent atoms, fractional coordinates:
Zr (0.000, 0.000, 0.000)
Ta (0.000, 0.000, 0.500)
Cu (0.250, 0.250, 0.750)
Bi (0.250, 0.250, 0.250)

Output
Total DFT energy (no corrections) in eV for the cell shown: -107.66
Polymorph energy (0 for the lowest one) in meV/atom: 0

---

Entry 19:
## HgBiSeO (PBE)

Data for HgBiSeO after structural relaxation.

Cell lengths 5.615, 5.592, 11.816 Å; angles 90.00, 103.03, 90.00 degrees
Space group P2_1 (No. 4)
Inequivalent atoms, fractional coordinates:
Hg (0.127, 0.000, 0.084)
Hg (0.370, 0.998, 0.916)
Bi (0.067, 0.917, 0.610)
Bi (0.433, 0.918, 0.390)
Se (0.113, 0.433, 0.757)
Se (0.388, 0.432, 0.242)
O (0.250, 0.173, 0.500)
O (0.250, 0.675, 0.500)

Output
Total DFT energy (no corrections) in eV for the cell shown: -61.14
Polymorph energy (0 for the lowest one) in meV/atom: 0

---

Entry 20:
## LiCd2Ir (PBE)

Data for LiCd2Ir after structural relaxation.

Cell lengths 6.431, 6.431, 6.431 Å; angles 90.00, 90.00, 90.00 degrees
Space group F-43m (No. 216)
Inequivalent atoms, fractional coordinates:
Li (0.000, 0.000, 0.000)
Cd (0.000, 0.000, 0.500)
Cd (0.250, 0.250, 0.750)
Ir (0.250, 0.250, 0.250)

Output
Total DFT energy (no corrections) in eV for the cell shown: -50.11

---

Entry 21:
## In2Ag2Ir (PBE)

Data for In2Ag2Ir after structural relaxation.

Cell lengths 3.872, 3.872, 12.542 Å; angles 90.00, 90.00, 90.00 degrees
Space group I4/mmm (No. 139)
Inequivalent atoms, fractional coordinates:
In (0.000, 0.000, 0.100)
Ag (0.000, 0.500, 0.250)
Ir (0.000, 0.000, 0.500)

Output
Total DFT energy (no corrections) in eV for the cell shown: -34.97
Polymorph energy (0 for the lowest one) in meV/atom: 0

---

Entry 22:
## ErNiAg (PBE)

Data for ErNiAg after structural relaxation.

Cell lengths 6.468, 6.468, 6.468 Å; angles 90.00, 90.00, 90.00 degrees
Space group F-43m (No. 216)
Inequivalent atoms, fractional coordinates:
Er (0.000, 0.000, 0.000)
Ni (0.250, 0.250, 0.250)
Ag (0.250, 0.250, 0.750)

Output
Total DFT energy (no corrections) in eV for the cell shown: -48.60
Polymorph energy (0 for the lowest one) in meV/atom: 452
Energy relative to the elements in meV/atom: 268.2

---

Entry 23:
## NaYHgO3 (PBE)

Data for NaYHgO3 after structural relaxation.

Cell lengths 3.583, 12.203, 8.760 Å; angles 90.00, 90.00, 90.00 degrees
Space group Cmcm (No. 63)
Inequivalent atoms, fractional coordinates:
Na (0.000, 0.153, 0.250)
Y (0.000, 0.500, 0.000)
Hg (0.000, 0.137, 0.750)
O (0.000, 0.122, 0.519)
O (0.000, 0.467, 0.750)

Output
Total DFT energy (no corrections) in eV for the cell shown: -135.83

---

Entry 24:
## Ga2CoGe (PBE)

Data for Ga2CoGe after structural relaxation.

Cell lengths 6.248, 6.248, 6.248 Å; angles 90.00, 90.00, 90.00 degrees
Space group F-43m (No. 216)
Inequivalent atoms, fractional coordinates:
Ga (0.000, 0.000, 0.000)
Ga (0.250, 0.250, 0.250)
Co (0.250, 0.250, 0.750)
Ge (0.000, 0.000, 0.500)

Output
Total DFT energy (no corrections) in eV for the cell shown: -67.23

---

Entry 25:
## Ni3Ir2 (PBE)

Data for Ni3Ir2 after structural relaxation.

Cell lengths 6.1126, 6.1126, 13.0248 Å; angles 90.00, 90.00, 120.00 degrees
Space group R-3c (No. 167, hexagonal axes)
Inequivalent atoms, fractional coordinates:
Ni (0.0000, 0.2352, 0.2500)
Ir (0.0000, 0.0000, 0.0925)

Output
Total DFT energy (no corrections) in eV for the cell shown: -189.86
Energy relative to the elements in meV/atom: 553.9